No. 1
DFT (PBE) results for Tb6Ho19Er4 after structural relaxation.

The structure in POSCAR format:
```
Tb6Ho19Er4
1.0
10.069 0.000 -3.560
-5.034 8.720 -3.560
0.000 0.000 10.679
Ho Er Tb
19 4 6
Direct
0.324 0.785 0.982 Ho
0.740 0.000 0.740 Ho
0.676 0.658 0.461 Ho
0.539 0.197 0.215 Ho
0.197 0.215 0.539 Ho
0.000 0.260 0.260 Ho
0.461 0.676 0.658 Ho
0.260 0.000 0.260 Ho
0.785 0.982 0.324 Ho
0.018 0.803 0.342 Ho
0.215 0.539 0.197 Ho
0.000 0.740 0.740 Ho
0.342 0.018 0.803 Ho
0.260 0.260 0.000 Ho
0.000 0.000 0.000 Ho
0.982 0.324 0.785 Ho
0.740 0.740 0.000 Ho
0.658 0.461 0.676 Ho
0.803 0.342 0.018 Ho
0.642 0.000 0.000 Er
0.358 0.358 0.358 Er
0.000 0.000 0.642 Er
0.000 0.642 0.000 Er
0.500 0.127 0.627 Tb
0.373 0.500 0.873 Tb
0.873 0.373 0.500 Tb
0.627 0.500 0.127 Tb
0.127 0.627 0.500 Tb
0.500 0.873 0.373 Tb
```

Output
* electronic total energy: -4.203 eV/atom
* SG: I23, No. 197
* DFT formation energy: 384 meV/atom

=====

No. 2
DFT (PBE) results for V3CrS after structural relaxation.

The structure in POSCAR format:
```
V3CrS
1.0
-3.562 -1.377 2.047
2.204 -0.158 3.728
-1.110 4.106 0.830
V Cr S
3 1 1
Direct
0.500 0.000 0.000 V
0.000 0.000 0.500 V
0.000 0.500 0.000 V
0.000 0.000 0.000 Cr
0.500 0.500 0.500 S
```

Output
* electronic total energy: -7.229 eV/atom
* E above lowest polymorph: 0.7769 eV/atom
* uncorrected formation energy: 0.993 eV/atom
* SG: Pm-3m, No. 221

=====

Which of these has the highest electronic total energy? Tb6Ho19Er4